# 1
A relaxed structure of Hf2FeAs, computed with PBE.

Computed properties:
calculated volume: 67.0 Å³/cell
electronic total energy: -32.1 eV/cell

Geometry as POSCAR:
```
Hf2FeAs
1.0
4.0245 -1.4813 1.5474
0.5363 -0.9304 4.4308
0.4607 -4.3198 1.3827
As Hf Fe
1 2 1
direct
0.5000 0.5000 0.5000
0.0000 0.0000 0.0000
0.7500 0.7500 0.7500
0.2500 0.2500 0.2500
```



# 2
A relaxed structure of HfFe2As, computed with PBE.

Computed properties:
calculated volume: 58.8 Å³/cell
electronic total energy: -31.5 eV/cell

Geometry as POSCAR:
```
HfFe2As
1.0
0.0000 3.0860 3.0860
3.0860 0.0000 3.0860
3.0860 3.0860 0.0000
As Fe Hf
1 2 1
direct
0.5000 0.5000 0.5000
0.7500 0.7500 0.7500
0.0000 0.0000 0.0000
0.2500 0.2500 0.2500
```